[1]
The following is a DFT calculation (GGA-PBE) of a geometry-optimized Cd3RuO structure.

It has space group Pm-3m (No. 221), with a = 4.5006 Å, b = 4.5006 Å, c = 4.5006 Å, α = 90.00°, β = 90.00° and γ = 90.00°. The asymmetric unit holds Cd at (0.0000, 0.0000, 0.5000), Ru at (0.5000, 0.5000, 0.5000) and O at (0.0000, 0.0000, 0.0000).

Its formation energy (no corrections) is 259 meV per atom. As for the density of states at the Fermi level: 3.18 states/eV/f.u. The value obtained for the total energy is -3.14 eV per atom. The size of the total moment comes out at 0.39 μB/cell. The distance to the lowest polymorph of the same formula is 0.000 kcal/mol of atoms. The volume comes out at 18.2 Å³ per atom.

=====

[2]
The following is a DFT calculation (GGA-PBE) of a geometry-optimized La2SiOs structure.

It has space group Cmmm (No. 65), with a = 6.6231 Å, b = 7.9944 Å, c = 3.5544 Å, α = 90.00°, β = 90.00° and γ = 90.00°. The asymmetric unit holds La at (0.2500, 0.2500, 0.0000), Si at (0.0000, 0.0000, 0.5000) and Os at (0.0000, 0.5000, 0.5000).

Its formation energy (no corrections) is -110 meV per atom. As for the density of states at the Fermi level: 2.43 states/eV/f.u. The value obtained for the total energy is -6.74 eV per atom. The size of the total moment comes out at 0.00 μB/cell. The volume comes out at 23.5 Å³ per atom.

=====

[3]
The following is a DFT calculation (GGA-PBE) of a geometry-optimized CaTa2Al structure.

It has space group P4/mmm (No. 123), with a = 2.9103 Å, b = 2.9103 Å, c = 9.4780 Å, α = 90.00°, β = 90.00° and γ = 90.00°. The asymmetric unit holds Ca at (0.0000, 0.0000, 0.0000), Ta at (0.5000, 0.5000, 0.2944) and Al at (0.0000, 0.0000, 0.5000).

For the formation energy, the calculation gives 0.2887 eV per atom. As for the density of states at the Fermi level: 4.40 states/eV/f.u. The value obtained for the total energy is -7.07 eV per atom. The size of the total moment comes out at 0.00 μB/cell. The volume comes out at 20.1 Å³ per atom.

=====

[4]
The following is a DFT calculation (GGA-PBE) of a geometry-optimized LaCr2Re structure.

It has space group C2/m (No. 12), with a = 5.8843 Å, b = 8.3933 Å, c = 2.8370 Å, α = 90.00°, β = 112.04° and γ = 90.00°. The asymmetric unit holds La at (0.0000, 0.0000, 0.0000), Cr at (0.2500, 0.2500, 0.5000) and Re at (0.0000, 0.5000, 0.0000).

For the formation energy, the calculation gives 0.8163 eV per atom. As for the density of states at the Fermi level: 4.80 states/eV/f.u. The value obtained for the total energy is -8.34 eV per atom. The size of the total moment comes out at 0.00 μB/cell. The distance to the lowest polymorph of the same formula is 10.425 kcal/mol of atoms. The volume comes out at 16.2 Å³ per atom.

=====

[5]
The following is a DFT calculation (GGA-PBE) of a geometry-optimized Cd3BrCl structure.

It has space group Pm-3m (No. 221), with a = 5.8095 Å, b = 5.8095 Å, c = 5.8095 Å, α = 90.00°, β = 90.00° and γ = 90.00°. The asymmetric unit holds Cd at (0.0000, 0.0000, 0.5000), Br at (0.0000, 0.0000, 0.0000) and Cl at (0.5000, 0.5000, 0.5000).

Its formation energy (no corrections) is 146 meV per atom. As for the density of states at the Fermi level: 2.57 states/eV/f.u. The value obtained for the total energy is -1.11 eV per atom. The size of the total moment comes out at 0.00 μB/cell. The distance to the lowest polymorph of the same formula is 1.054 kcal/mol of atoms. The volume comes out at 39.2 Å³ per atom.

=====

[6]
The following is a DFT calculation (GGA-PBE) of a geometry-optimized PrDy7Er2 structure.

It has space group P-1 (No. 2), with a = 6.1421 Å, b = 6.1502 Å, c = 9.3974 Å, α = 109.04°, β = 102.58° and γ = 99.68°. The asymmetric unit holds Pr at (0.0000, 0.0000, 0.0000), Dy at (0.2003, 0.3998, 0.4011), Dy at (0.3019, 0.6015, 0.1011), Dy at (0.3987, 0.7980, 0.7976), Dy at (0.5000, 0.0000, 0.5000) and Er at (0.0993, 0.2004, 0.6984).

For the formation energy, the calculation gives 0.0204 eV per atom. As for the density of states at the Fermi level: 13.90 states/eV/f.u. The value obtained for the total energy is -4.59 eV per atom. The size of the total moment comes out at 0.00 μB/cell. The distance to the lowest polymorph of the same formula is 0.000 kcal/mol of atoms. The volume comes out at 31.6 Å³ per atom.

=====

[7]
The following is a DFT calculation (GGA-PBE) of a geometry-optimized LiDyY2S5 structure.

It has space group Cmc2_1 (No. 36), with a = 3.8984 Å, b = 16.2011 Å, c = 11.8101 Å, α = 90.00°, β = 90.00° and γ = 90.00°. The asymmetric unit holds Li at (0.0000, 0.0128, 0.0000), Dy at (0.0000, 0.3033, 0.5185), Y at (0.0000, 0.3764, 0.8104), Y at (0.0000, 0.3923, 0.2015), S at (0.0000, 0.9998, 0.3029), S at (0.0000, 0.1366, 0.5195), S at (0.0000, 0.1925, 0.8580), S at (0.0000, 0.2132, 0.1808) and S at (0.0000, 0.4545, 0.5926).

Its formation energy (no corrections) is -1874 meV per atom. The value obtained for the total energy is -6.33 eV per atom. The size of the total moment comes out at 0.00 μB/cell. The volume comes out at 20.7 Å³ per atom.

=====

[8]
The following is a DFT calculation (GGA-PBE) of a geometry-optimized CrFeMo2 structure.

It has space group Pm (No. 6), with a = 2.6029 Å, b = 4.3016 Å, c = 5.0138 Å, α = 90.00°, β = 99.36° and γ = 90.00°. The asymmetric unit holds Cr at (0.0000, 0.0000, 0.0000), Fe at (0.7508, 0.5000, 0.2471), Mo at (0.2402, 0.5000, 0.7619) and Mo at (0.4788, 0.0000, 0.4875).

For the formation energy, the calculation gives 0.1327 eV per atom. As for the density of states at the Fermi level: 3.62 states/eV/f.u. The value obtained for the total energy is -9.80 eV per atom. The size of the total moment comes out at 2.33 μB/cell. The distance to the lowest polymorph of the same formula is 0.755 kcal/mol of atoms. The volume comes out at 13.8 Å³ per atom.

=====

[9]
The following is a DFT calculation (GGA-PBE) of a geometry-optimized NdSc4Cu5 structure.

It has space group P4/mmm (No. 123), with a = 3.2959 Å, b = 3.2959 Å, c = 16.8648 Å, α = 90.00°, β = 90.00° and γ = 90.00°. The asymmetric unit holds Nd at (0.0000, 0.0000, 0.0000), Sc at (0.0000, 0.0000, 0.2114), Sc at (0.0000, 0.0000, 0.4039), Cu at (0.5000, 0.5000, 0.1237), Cu at (0.5000, 0.5000, 0.3063) and Cu at (0.5000, 0.5000, 0.5000).

For the formation energy, the calculation gives -0.2430 eV per atom. As for the density of states at the Fermi level: 5.15 states/eV/f.u. The value obtained for the total energy is -5.30 eV per atom. The size of the total moment comes out at 0.00 μB/cell. The volume comes out at 18.3 Å³ per atom.

=====

[10]
The following is a DFT calculation (GGA-PBE) of a geometry-optimized Tm5Ru2Pb4 structure.

It has space group Pbam (No. 55), with a = 8.1937 Å, b = 18.2659 Å, c = 3.5760 Å, α = 90.00°, β = 90.00° and γ = 90.00°. The asymmetric unit holds Tm at (0.0000, 0.0000, 0.0000), Tm at (0.1097, 0.4104, 0.0000), Tm at (0.2290, 0.2188, 0.0000), Ru at (0.0089, 0.3053, 0.5000), Pb at (0.0934, 0.8477, 0.5000) and Pb at (0.2076, 0.5657, 0.5000).

For the formation energy, the calculation gives -0.4399 eV per atom. As for the density of states at the Fermi level: 5.76 states/eV/f.u. The value obtained for the total energy is -5.51 eV per atom. The size of the total moment comes out at 0.00 μB/cell. The volume comes out at 24.3 Å³ per atom.

=====

[11]
The following is a DFT calculation (GGA-PBE) of a geometry-optimized TbNd6Dy3Er2 structure.

It has space group C2/m (No. 12), with a = 6.2661 Å, b = 10.8521 Å, c = 11.8424 Å, α = 90.00°, β = 100.12° and γ = 90.00°. The asymmetric unit holds Tb at (0.0000, 0.0000, 0.0000), Nd at (0.2500, 0.0000, 0.7505), Nd at (0.2504, 0.1668, 0.2495), Dy at (0.0000, 0.1668, 0.5000), Dy at (0.0000, 0.5000, 0.5000) and Er at (0.0000, 0.3334, 0.0000).

For the formation energy, the calculation gives 0.0116 eV per atom. As for the density of states at the Fermi level: 13.42 states/eV/f.u. The value obtained for the total energy is -4.67 eV per atom. The size of the total moment comes out at 0.00 μB/cell. The volume comes out at 33.0 Å³ per atom.

=====

[12]
The following is a DFT calculation (GGA-PBE) of a geometry-optimized Ac5CoPt structure.

It has space group C2/c (No. 15), with a = 10.8714 Å, b = 9.2131 Å, c = 11.2618 Å, α = 90.00°, β = 110.75° and γ = 90.00°. The asymmetric unit holds Ac at (0.0000, 0.2451, 0.2500), Ac at (0.0954, 0.1663, 0.6358), Ac at (0.1867, 0.4570, 0.0176), Co at (0.2500, 0.2500, 0.5000) and Pt at (0.0000, 0.4283, 0.7500).

For the formation energy, the calculation gives -0.2394 eV per atom. As for the density of states at the Fermi level: 8.20 states/eV/f.u. The value obtained for the total energy is -5.05 eV per atom. The size of the total moment comes out at 0.00 μB/cell. The volume comes out at 37.7 Å³ per atom.

=====

[13]
The following is a DFT calculation (GGA-PBE) of a geometry-optimized CaMgZrIn structure.

It has space group F-43m (No. 216), with a = 7.3413 Å, b = 7.3413 Å, c = 7.3413 Å, α = 90.00°, β = 90.00° and γ = 90.00°. The asymmetric unit holds Ca at (0.0000, 0.0000, 0.0000), Mg at (0.2500, 0.2500, 0.7500), Zr at (0.0000, 0.0000, 0.5000) and In at (0.2500, 0.2500, 0.2500).

For the formation energy, the calculation gives -0.0734 eV per atom. As for the density of states at the Fermi level: 3.25 states/eV/f.u. The value obtained for the total energy is -3.79 eV per atom. The size of the total moment comes out at 0.00 μB/cell. The volume comes out at 24.7 Å³ per atom.

=====

[14]
The following is a DFT calculation (GGA-PBE) of a geometry-optimized Pu3Ge2Os2 structure.

It has space group Pbcm (No. 57), with a = 5.5168 Å, b = 7.8021 Å, c = 13.4192 Å, α = 90.00°, β = 90.00° and γ = 90.00°. The asymmetric unit holds Pu at (0.1147, 0.2354, 0.2500), Pu at (0.3449, 0.6043, 0.0968), Ge at (0.1520, 0.2500, 0.0000), Ge at (0.3899, 0.6074, 0.7500) and Os at (0.1399, 0.5388, 0.5936).

For the formation energy, the calculation gives -0.3038 eV per atom. As for the density of states at the Fermi level: 20.46 states/eV/f.u. The value obtained for the total energy is -10.97 eV per atom. The size of the total moment comes out at 59.26 μB/cell. The volume comes out at 20.6 Å³ per atom.

=====

[15]
The following is a DFT calculation (GGA-PBE) of a geometry-optimized CaTb3Mg6 structure.

It has space group P2_1/m (No. 11), with a = 9.3004 Å, b = 5.3470 Å, c = 11.3964 Å, α = 90.00°, β = 106.08° and γ = 90.00°. The asymmetric unit holds Ca at (0.0521, 0.2500, 0.3943), Tb at (0.2521, 0.2500, 0.9953), Tb at (0.3564, 0.7500, 0.8009), Tb at (0.4607, 0.2500, 0.6054), Mg at (0.0494, 0.7500, 0.9065), Mg at (0.1458, 0.7500, 0.1954), Mg at (0.1522, 0.2500, 0.7009), Mg at (0.2511, 0.7500, 0.4976), Mg at (0.3418, 0.2500, 0.2923) and Mg at (0.4387, 0.7500, 0.1004).

For the formation energy, the calculation gives -0.0583 eV per atom. As for the density of states at the Fermi level: 9.21 states/eV/f.u. The value obtained for the total energy is -2.60 eV per atom. The size of the total moment comes out at 0.09 μB/cell. The volume comes out at 27.2 Å³ per atom.

=====

[16]
The following is a DFT calculation (GGA-PBE) of a geometry-optimized HfAl2Cu structure.

It has space group P4/mmm (No. 123), with a = 2.9994 Å, b = 2.9994 Å, c = 7.1104 Å, α = 90.00°, β = 90.00° and γ = 90.00°. The asymmetric unit holds Hf at (0.0000, 0.0000, 0.0000), Al at (0.5000, 0.5000, 0.2903) and Cu at (0.0000, 0.0000, 0.5000).

For the formation energy, the calculation gives -0.3086 eV per atom. As for the density of states at the Fermi level: 1.42 states/eV/f.u. The value obtained for the total energy is -5.69 eV per atom. The size of the total moment comes out at 0.00 μB/cell. The volume comes out at 16.0 Å³ per atom.

=====

[17]
The following is a DFT calculation (GGA-PBE) of a geometry-optimized Li6MgAg3 structure.

It has space group R-3m (No. 166, hexagonal axes), with a = 11.1505 Å, b = 11.1505 Å, c = 10.0269 Å, α = 90.00°, β = 90.00° and γ = 120.00°. The asymmetric unit holds Li at (0.0000, 0.2750, 0.0000), Li at (0.0867, 0.1734, 0.7490), Mg at (0.0000, 0.0000, 0.0000), Mg at (0.0000, 0.0000, 0.5000) and Ag at (0.0397, 0.5198, 0.1332).

For the formation energy, the calculation gives -0.1059 eV per atom. As for the density of states at the Fermi level: 4.29 states/eV/f.u. The value obtained for the total energy is -2.27 eV per atom. The size of the total moment comes out at 0.00 μB/cell. The distance to the lowest polymorph of the same formula is 0.329 kcal/mol of atoms. The volume comes out at 18.0 Å³ per atom.

=====

[18]
The following is a DFT calculation (GGA-PBE) of a geometry-optimized TbNd5Pb6 structure.

It has space group C2/m (No. 12), with a = 8.3591 Å, b = 11.4184 Å, c = 8.3948 Å, α = 90.00°, β = 100.90° and γ = 90.00°. The asymmetric unit holds Tb at (0.0000, 0.0000, 0.0000), Nd at (0.0000, 0.1684, 0.5000), Nd at (0.0000, 0.3316, 0.0000), Nd at (0.0000, 0.5000, 0.5000), Pb at (0.2469, 0.0000, 0.7525) and Pb at (0.2476, 0.1621, 0.2479).

For the formation energy, the calculation gives -0.4443 eV per atom. As for the density of states at the Fermi level: 7.57 states/eV/f.u. The value obtained for the total energy is -4.67 eV per atom. The size of the total moment comes out at 0.00 μB/cell. The distance to the lowest polymorph of the same formula is 1.327 kcal/mol of atoms. The volume comes out at 32.8 Å³ per atom.

=====

[19]
The following is a DFT calculation (GGA-PBE) of a geometry-optimized Li3Zn2Au7 structure.

It has space group P2/m (No. 10), with a = 4.1611 Å, b = 3.6781 Å, c = 14.9380 Å, α = 90.00°, β = 97.91° and γ = 90.00°. The asymmetric unit holds Li at (0.0000, 0.0000, 0.0000), Li at (0.3022, 0.5000, 0.6045), Zn at (0.1322, 0.0000, 0.2719), Au at (0.0681, 0.5000, 0.1408), Au at (0.2206, 0.0000, 0.4396), Au at (0.4246, 0.0000, 0.8444) and Au at (0.5000, 0.5000, 0.0000).

For the formation energy, the calculation gives -0.2667 eV per atom. As for the density of states at the Fermi level: 2.69 states/eV/f.u. The value obtained for the total energy is -2.87 eV per atom. The size of the total moment comes out at 0.00 μB/cell. The distance to the lowest polymorph of the same formula is 0.374 kcal/mol of atoms. The volume comes out at 18.9 Å³ per atom.

=====

[20]
The following is a DFT calculation (GGA-PBE) of a geometry-optimized LaRe3F structure.

It has space group Pm-3m (No. 221), with a = 4.4588 Å, b = 4.4588 Å, c = 4.4588 Å, α = 90.00°, β = 90.00° and γ = 90.00°. The asymmetric unit holds La at (0.0000, 0.0000, 0.0000), Re at (0.0000, 0.5000, 0.5000) and F at (0.5000, 0.5000, 0.5000).

Its formation energy (no corrections) is 1212 meV per atom. As for the density of states at the Fermi level: 5.25 states/eV/f.u. The value obtained for the total energy is -7.62 eV per atom. The size of the total moment comes out at 2.78 μB/cell. The distance to the lowest polymorph of the same formula is 0.000 kcal/mol of atoms. The volume comes out at 17.7 Å³ per atom.